# 1
Computed, not measured: a crystal of MgBe2CoGe relaxed with PBEsol at the meta-GGA SCAN level of DFT.

Computed properties:
DOS(E_F)   2.332 states/eV/f.u.
Electronic total energy   -9.39 eV per atom
Energy of formation from the pure elements   0.622 eV/atom

abc: 4.0584 4.0584 4.5569
angles: 90.00 90.00 90.00
Element x y z (fractional)
Be 0.0000 0.5000 0.0000
Be 0.5000 0.0000 0.0000
Ge 0.5000 0.5000 0.5000
Co 0.0000 0.0000 0.0000
Mg 0.0000 0.0000 0.5000


# 2
Computed, not measured: a crystal of Li3MnSi6O15 relaxed with PBEsol at the meta-GGA SCAN level of DFT.

Computed properties:
Formation energy from raw total energies   -2.815 eV per atom
Electronic total energy   -9.97 eV per atom

abc: 9.9914 11.0081 11.0081
angles: 100.69 90.00 90.00
Site moments in Bohr magnetons follow the coordinates.
Element x y z (fractional)
Li 0.0000 0.2379 0.2379  0.00
Li 0.2500 0.0134 0.4866  0.00
Li 0.7500 0.4866 0.0134  0.00
Li 0.5000 0.2621 0.2621  0.00
Li 0.8236 0.9413 0.0587  0.00
Li 0.6764 0.4413 0.5587  0.00
Li 0.3236 0.5587 0.4413  0.00
Li 0.1764 0.0587 0.9413  0.00
Li 0.5000 0.7379 0.7379  0.00
Li 0.7500 0.9866 0.5134  0.00
Li 0.2500 0.5134 0.9866  0.00
Li 0.0000 0.7621 0.7621  0.00
Mn 0.2500 0.3406 0.1594  3.71
Mn 0.7500 0.1594 0.3406  3.71
Mn 0.7500 0.6594 0.8406  3.71
Mn 0.2500 0.8406 0.6594  3.71
Si 0.1962 0.0422 0.1890  0.00
Si 0.8038 0.1890 0.0422  0.00
Si 0.6962 0.4578 0.3110  0.00
Si 0.3038 0.3110 0.4578  0.00
Si 0.0054 0.2660 0.5167  0.00
Si 0.4946 0.7660 0.0167  0.00
Si 0.9946 0.5167 0.2660  0.00
Si 0.5054 0.0167 0.7660  0.00
Si 0.4599 0.5808 0.1989  0.00
Si 0.0401 0.0808 0.6989  0.00
Si 0.9599 0.6989 0.0808  0.00
Si 0.5401 0.1989 0.5808  0.00
Si 0.4599 0.8011 0.4192  0.00
Si 0.9599 0.9192 0.3011  0.00
Si 0.0401 0.3011 0.9192  0.00
Si 0.5401 0.4192 0.8011  0.00
Si 0.0054 0.4833 0.7340  0.00
Si 0.4946 0.9833 0.2340  0.00
Si 0.9946 0.7340 0.4833  0.00
Si 0.5054 0.2340 0.9833  0.00
Si 0.6962 0.6890 0.5422  0.00
Si 0.3038 0.5422 0.6890  0.00
Si 0.1962 0.8110 0.9578  0.00
Si 0.8038 0.9578 0.8110  0.00
O 0.0878 0.0098 0.2891  0.00
O 0.9122 0.2891 0.0098  0.00
O 0.6593 0.2561 0.0357  0.00
O 0.3407 0.0357 0.2561  0.00
O 0.1595 0.1679 0.1431  0.03
O 0.8405 0.1431 0.1679  0.03
O 0.5922 0.1008 0.2584  0.00
O 0.4078 0.2584 0.1008  0.00
O 0.1713 0.0107 0.6422  0.04
O 0.8287 0.6422 0.0107  0.04
O 0.3287 0.5107 0.1422  0.04
O 0.6713 0.1422 0.5107  0.04
O 0.0922 0.3992 0.2416  0.00
O 0.9078 0.2416 0.3992  0.00
O 0.6595 0.3321 0.3569  0.03
O 0.3405 0.3569 0.3321  0.03
O 0.8407 0.4643 0.2439  0.00
O 0.1593 0.2439 0.4643  0.00
O 0.4122 0.2109 0.4902  0.00
O 0.5878 0.4902 0.2109  0.00
O 0.5190 0.6738 0.1134  0.00
O 0.0190 0.6134 0.1738  0.00
O 0.4810 0.1134 0.6738  0.00
O 0.9810 0.1738 0.6134  0.00
O 0.9868 0.4078 0.5922  0.00
O 0.4282 0.6589 0.3411  0.00
O 0.1922 0.9379 0.0621  0.00
O 0.9282 0.8411 0.1589  0.00
O 0.5132 0.9078 0.0922  0.00
O 0.6922 0.5621 0.4379  0.00
O 0.0132 0.5922 0.4078  0.00
O 0.3078 0.4379 0.5621  0.00
O 0.5718 0.3411 0.6589  0.00
O 0.8078 0.0621 0.9379  0.00
O 0.0718 0.1589 0.8411  0.00
O 0.4868 0.0922 0.9078  0.00
O 0.4810 0.3262 0.8866  0.00
O 0.5190 0.8866 0.3262  0.00
O 0.0190 0.8262 0.3866  0.00
O 0.9810 0.3866 0.8262  0.00
O 0.5878 0.7891 0.5098  0.00
O 0.4122 0.5098 0.7891  0.00
O 0.8407 0.7561 0.5357  0.00
O 0.1593 0.5357 0.7561  0.00
O 0.6595 0.6431 0.6679  0.03
O 0.3405 0.6679 0.6431  0.03
O 0.0922 0.7584 0.6008  0.00
O 0.9078 0.6008 0.7584  0.00
O 0.8287 0.9893 0.3578  0.04
O 0.3287 0.8578 0.4893  0.04
O 0.1713 0.3578 0.9893  0.04
O 0.6713 0.4893 0.8578  0.04
O 0.4078 0.8992 0.7416  0.00
O 0.5922 0.7416 0.8992  0.00
O 0.8405 0.8321 0.8569  0.03
O 0.1595 0.8569 0.8321  0.03
O 0.6593 0.9643 0.7439  0.00
O 0.3407 0.7439 0.9643  0.00
O 0.9122 0.9902 0.7109  0.00
O 0.0878 0.7109 0.9902  0.00


# 3
Computed, not measured: a crystal of InMoRh3 relaxed with PBEsol at the meta-GGA SCAN level of DFT.

Computed properties:
DOS(E_F)   4.299 states/eV/f.u.
Electronic total energy   -32.96 eV per atom
Energy of formation from the pure elements   0.953 eV/atom

abc: 4.6172 4.6172 4.6172
angles: 90.00 90.00 90.00
Element x y z (fractional)
Mo 0.0000 0.0000 0.0000
Rh 0.0000 0.5000 0.0000
Rh 0.0000 0.0000 0.5000
Rh 0.5000 0.0000 0.0000
In 0.5000 0.5000 0.5000


# 4
Computed, not measured: a crystal of CaHgPb2 relaxed with PBEsol at the meta-GGA SCAN level of DFT.

Computed properties:
DOS(E_F)   1.620 states/eV/f.u.
Electronic total energy   -57.72 eV per atom
Energy of formation from the pure elements   -0.370 eV/atom

abc: 3.6845 4.1716 7.1060
angles: 90.00 90.00 90.00
Element x y z (fractional)
Pb 0.0000 0.0000 0.9925
Pb 0.5000 0.5000 0.2404
Ca 0.0000 0.0000 0.5180
Hg 0.5000 0.5000 0.7491